Entry 1:
Here is a relaxed Y2HfTl2 crystal from Alexandria. Energies are from PBE.

Values from the calculation:
E_form	0.188	eV/atom
space group	P4/mbm (127)
total energy	-5.335	eV/atom
size of the total moment	0.0000	μB per atom

Cell: 8.988 8.988 3.409 Å, 90.00 90.00 90.00°
Fractional positions:
Y 0.130 0.370 0.000
Y 0.370 0.870 0.000
Y 0.630 0.130 0.000
Y 0.870 0.630 0.000
Hf 0.000 0.000 0.000
Hf 0.500 0.500 0.000
Tl 0.171 0.671 0.500
Tl 0.329 0.171 0.500
Tl 0.671 0.829 0.500
Tl 0.829 0.329 0.500

Entry 2:
Here is a relaxed LiDyI3 crystal from Alexandria. Energies are from PBE.

Values from the calculation:
formation energy from raw total energies	-1.118	eV per atom
space group	P-1 (2)
total energy	-3.352	eV/atom
size of the total moment	0.1956	μB per atom

Cell: 7.263 7.311 8.235 Å, 67.39 65.82 63.65°
Fractional positions:
Li 0.149 0.168 0.018
Li 0.851 0.832 0.982
Dy 0.366 0.364 0.489
Dy 0.634 0.636 0.511
I 0.072 0.430 0.251
I 0.240 0.944 0.731
I 0.432 0.764 0.205
I 0.568 0.236 0.795
I 0.760 0.056 0.269
I 0.928 0.570 0.749

Entry 3:
Here is a relaxed SrLiPrGa crystal from Alexandria. Energies are from PBE.

Values from the calculation:
E_form	-0.198	eV/atom
space group	F-43m (216)
total energy	-3.049	eV/atom
size of the total moment	0.0000	μB per atom

Cell: 5.453 5.453 5.453 Å, 60.00 60.00 60.00°
Fractional positions:
Sr 0.000 0.000 0.000
Li 0.250 0.250 0.250
Pr 0.500 0.500 0.500
Ga 0.750 0.750 0.750

Entry 4:
Here is a relaxed K2RbPuBr8 crystal from Alexandria. Energies are from PBE.

Values from the calculation:
formation energy from raw total energies	-1.386	eV per atom
space group	P-1 (2)
total energy	-3.959	eV/atom
size of the total moment	0.3449	μB per atom

Cell: 6.790 7.097 10.415 Å, 89.99 89.94 85.66°
Fractional positions:
K 0.001 0.000 0.238
K 0.999 0.000 0.762
Rb 0.500 0.500 0.500
Pu 0.500 0.500 0.000
Br 0.265 0.379 0.194
Br 0.265 0.984 0.500
Br 0.266 0.378 0.806
Br 0.282 0.842 0.000
Br 0.718 0.158 0.000
Br 0.734 0.622 0.194
Br 0.735 0.016 0.500
Br 0.735 0.621 0.806